<one>
CaAs2BrCl | GGA-PBE | optimized geometry

The structure in POSCAR format:
```
CaAs2BrCl
1.0
-3.503 4.466 0.481
-4.097 -3.427 1.979
1.736 0.821 5.017
Ca As Cl Br
1 2 1 1
direct
0.000 0.000 0.000 Ca
0.000 0.500 0.000 As
0.500 0.000 0.000 As
0.500 0.500 0.500 Cl
0.000 0.000 0.500 Br
```

Calculated values
Theoretical density, g/cm³: 2.9
Spin magnetization, μB/atom: 0.267

<two>
CaAs2BrCl | GGA-PBE | optimized geometry

The structure in POSCAR format:
```
CaAs2BrCl
1.0
-2.234 -2.290 -3.513
-3.026 -1.875 3.147
-3.907 5.003 -0.776
Br Cl As Ca
1 1 2 1
direct
0.000 0.000 0.500 Br
0.000 0.000 0.000 Cl
0.500 0.000 0.000 As
0.000 0.500 0.000 As
0.500 0.500 0.500 Ca
```

Calculated values
Theoretical density, g/cm³: 3.5
Spin magnetization, μB/atom: 0.000

Relative energies, unit meV/atom: <one> 303; <two> 0

<one>
CaCrAsBr2 | GGA-PBE | optimized geometry

The structure in POSCAR format:
```
CaCrAsBr2
1.0
-0.469 3.712 2.761
-2.983 -3.845 4.664
4.143 -0.897 1.910
Br Ca Cr As
2 1 1 1
direct
0.500 0.000 0.000 Br
0.000 0.000 0.500 Br
0.000 0.500 0.000 Ca
0.000 0.000 0.000 Cr
0.500 0.500 0.500 As
```

Calculated values
Theoretical density, g/cm³: 3.7
Spin magnetization, μB/atom: 0.303

<two>
CaCrAsBr2 | GGA-PBE | optimized geometry

The structure in POSCAR format:
```
CaCrAsBr2
1.0
-3.109 -1.778 -3.669
4.017 -2.126 -2.374
-0.678 -4.187 2.603
Ca Br As Cr
1 2 1 1
direct
0.500 0.500 0.500 Ca
0.000 0.500 0.000 Br
0.500 0.000 0.000 Br
0.000 0.000 0.500 As
0.000 0.000 0.000 Cr
```

Calculated values
Theoretical density, g/cm³: 4.1
Spin magnetization, μB/atom: 0.599

Relative energies, unit meV/atom: <one> 755; <two> 0

<one>
CsCaAs2Br | GGA-PBE | optimized geometry

The structure in POSCAR format:
```
CsCaAs2Br
1.0
-0.919 -5.437 -1.528
4.861 -1.550 2.590
-2.973 -0.912 5.034
As Br Ca Cs
2 1 1 1
direct
0.000 0.500 0.000 As
0.500 0.000 0.000 As
0.000 0.000 0.500 Br
0.000 0.000 0.000 Ca
0.500 0.500 0.500 Cs
```

Calculated values
Theoretical density, g/cm³: 3.5
Spin magnetization, μB/atom: 0.413

<two>
CsCaAs2Br | GGA-PBE | optimized geometry

The structure in POSCAR format:
```
CsCaAs2Br
1.0
5.706 0.000 0.000
0.000 5.706 0.000
0.000 0.000 6.306
Ca Cs As Br
1 1 2 1
direct
0.500 0.500 0.500 Ca
0.000 0.000 0.000 Cs
0.500 0.000 0.000 As
0.000 0.500 0.000 As
0.000 0.000 0.500 Br
```

Calculated values
Theoretical density, g/cm³: 3.3
Spin magnetization, μB/atom: 0.164

Relative energies, unit meV/atom: <one> 0; <two> 903